Record 1
The following is a DFT calculation (PBE) of an optimized crystal structure of CsCdTeMo.

```
4
Lattice="3.585 0.000 0.000 0.000 2.124 8.380 0.000 -2.124 8.380" Properties=species:S:1:pos:R:3 pbc="T T T"
Cs 0.000 0.000 0.000
Cd 1.792 0.000 11.438
Te 1.792 0.000 5.828
Mo 0.000 0.000 3.881
```

Calculated values
Space-group type = Amm2
Calculated density = 6102 kg/m³
Total DFT energy (no corrections) = -14.553 eV for the cell shown
Density of states at the Fermi level = 3.47 states/eV per cell
Excess energy over the best structure of this formula in the dataset = 42 kJ/mol of formula units
Crystal system = orthorhombic
Formation energy without anion corrections = 0.297 eV per atom
Magnetization = 0.0 Bohr magnetons per cell

=====

Record 2
The following is a DFT calculation (PBE) of an optimized crystal structure of CsCdTeMo.

```
4
Lattice="3.851 0.000 0.000 0.000 3.975 0.000 1.919 1.980 8.765" Properties=species:S:1:pos:R:3 pbc="T T T"
Cs 0.000 0.000 0.000
Cd 3.852 3.976 5.626
Te 1.925 1.987 2.606
Mo 1.927 1.988 5.099
```

Calculated values
Space-group type = P1
Calculated density = 5803 kg/m³
Total DFT energy (no corrections) = -13.760 eV for the cell shown
Density of states at the Fermi level = 2.97 states/eV per cell
Excess energy over the best structure of this formula in the dataset = 118 kJ/mol of formula units
Crystal system = triclinic
Formation energy without anion corrections = 0.495 eV per atom
Magnetization = 0.0 Bohr magnetons per cell

=====

Record 3
The following is a DFT calculation (PBE) of an optimized crystal structure of CsCdTeMo.

```
4
Lattice="1.839 1.062 9.916 -1.839 1.062 9.916 0.000 -2.124 9.916" Properties=species:S:1:pos:R:3 pbc="T T T"
Cs 0.000 0.000 0.000
Cd 0.000 0.000 13.093
Te 0.000 0.000 16.715
Mo 0.000 0.000 24.982
```

Calculated values
Space-group type = R3m
Calculated density = 6698 kg/m³
Total DFT energy (no corrections) = -14.637 eV for the cell shown
Density of states at the Fermi level = 2.73 states/eV per cell
Excess energy over the best structure of this formula in the dataset = 33 kJ/mol of formula units
Crystal system = trigonal
Formation energy without anion corrections = 0.276 eV per atom
Magnetization = 0.0 Bohr magnetons per cell

=====

Record 4
The following is a DFT calculation (PBE) of an optimized crystal structure of CsCdTeMo.

```
4
Lattice="3.462 0.000 0.000 0.000 3.462 0.000 0.000 0.000 9.170" Properties=species:S:1:pos:R:3 pbc="T T T"
Cs 0.000 0.000 0.000
Cd 1.731 1.731 6.158
Te 1.731 1.731 2.993
Mo 0.000 0.000 4.373
```

Calculated values
Space-group type = P4mm
Calculated density = 7085 kg/m³
Total DFT energy (no corrections) = -14.983 eV for the cell shown
Density of states at the Fermi level = 2.93 states/eV per cell
Excess energy over the best structure of this formula in the dataset = 0 kJ/mol of formula units
Crystal system = tetragonal
Formation energy without anion corrections = 0.190 eV per atom
Magnetization = 0.9 Bohr magnetons per cell

=====

> What is the density of states at the Fermi level in the fourth record?

2.93 states/eV per cell